[1]
This record from Alexandria describes a geometry-optimized AlPN2F structure. The functional is PBE-GGA.

```
5
Lattice="3.8863 0.0000 0.0000 0.0000 3.8863 0.0000 0.0000 0.0000 3.4893" Properties=species:S:1:pos:R:3 pbc="T T T"
Al 0.0000 0.0000 0.0000
P 1.9432 1.9432 1.7447
N 0.0000 1.9432 0.0000
N 1.9432 0.0000 0.0000
F 0.0000 0.0000 1.7447
```

E_form (uncorrected) ... 79 meV per atom
Fermi-level density of states ... 0.287 states/eV per atom
V ... 10.54 A^3/atom
ΔE to the lowest computed polymorph ... 0 meV per atom
Electronic total energy ... -5.456 eV per atom
Space-group type ... No. 123



[2]
This record from Alexandria describes a geometry-optimized HfZnSb2 structure. The functional is PBE-GGA.

```
4
Lattice="2.0820 1.2020 6.6911 -2.0820 1.2020 6.6911 0.0000 -2.4041 6.6911" Properties=species:S:1:pos:R:3 pbc="T T T"
Hf 0.0000 0.0000 0.0000
Zn 0.0000 0.0000 3.2296
Sb 0.0000 0.0000 8.3017
Sb 0.0000 0.0000 11.6754
```

E_form (uncorrected) ... -36 meV per atom
Fermi-level density of states ... 0.607 states/eV per atom
V ... 25.12 A^3/atom
Electronic total energy ... -4.904 eV per atom
Space-group type ... No. 160



[3]
This record from Alexandria describes a geometry-optimized Y6TlCo structure. The functional is PBE-GGA.

```
8
Lattice="3.9215 -5.0355 0.0000 3.9215 5.0355 0.0000 -1.5493 0.0000 6.1247" Properties=species:S:1:pos:R:3 pbc="T T T"
Y 1.8960 3.1780 4.3932
Y 0.8597 0.0000 5.3003
Y 4.3978 3.1780 1.7315
Y 1.8960 -3.1780 4.3932
Y 5.4341 0.0000 0.8244
Y 4.3978 -3.1780 1.7315
Tl 3.1469 0.0000 3.0623
Co 0.0000 0.0000 0.0000
```

Fermi-level density of states ... 1.558 states/eV per atom
V ... 30.24 A^3/atom
Electronic total energy ... -6.042 eV per atom
Energy relative to the elements ... -0.1 eV/f.u.
Space-group type ... No. 12



Which of these has the highest V?
Y6TlCo